DFT (PBE) results for an optimized crystal structure of Ac3Br.

The structure in extended XYZ format:
```
4
Lattice="3.846 0.000 0.000 0.000 3.973 0.000 0.000 0.000 10.959" Properties=species:S:1:pos:R:3 pbc="T T T"
Ac 0.000 0.000 0.000
Ac 0.000 1.987 3.372
Ac 1.923 1.987 8.110
Br 1.923 0.000 5.331
```

Results
Relative energy among the computed polymorphs (meV/atom): 0.0
E (eV/atom): -3.91
ρ (Mg/m³): 7.54
Uncorrected formation energy (eV per atom): -0.413

DFT (PBE) results for an optimized crystal structure of Mg2InCo.

The structure in extended XYZ format:
```
4
Lattice="3.121 0.000 0.000 0.000 3.121 0.000 0.000 0.000 7.522" Properties=species:S:1:pos:R:3 pbc="T T T"
Mg 0.000 0.000 1.444
Mg 0.000 0.000 6.078
In 1.560 1.560 3.761
Co 1.560 1.560 0.000
```

Results
E (eV/atom): -3.22
ρ (Mg/m³): 5.04
Energy of formation (eV per atom): 0.037

DFT (PBE) results for an optimized crystal structure of Pr2Dy2YTm.

The structure in extended XYZ format:
```
12
Lattice="7.059 0.000 0.000 0.000 5.664 0.000 0.000 0.000 9.849" Properties=species:S:1:pos:R:3 pbc="T T T"
Pr 0.000 0.000 0.000
Pr 1.765 2.832 1.729
Pr 3.529 0.000 0.000
Pr 5.294 2.832 8.121
Dy 1.765 0.000 3.284
Dy 1.765 2.832 8.228
Dy 5.294 0.000 6.565
Dy 5.294 2.832 1.621
Y 0.000 2.832 4.925
Y 3.529 2.832 4.925
Tm 1.765 0.000 6.502
Tm 5.294 0.000 3.347
```

Results
E (eV/atom): -4.89
ρ (Mg/m³): 7.29
Energy of formation (eV per atom): 0.064

DFT (PBE) results for an optimized crystal structure of MgMn2Tc.

The structure in extended XYZ format:
```
16
Lattice="6.895 0.000 0.000 0.000 6.895 0.000 0.000 0.000 5.321" Properties=species:S:1:pos:R:3 pbc="T T T"
Mg 0.000 0.000 0.000
Mg 0.000 3.448 1.330
Mg 3.448 0.000 3.991
Mg 3.448 3.448 2.661
Mn 1.427 1.724 3.326
Mn 1.724 4.875 4.656
Mn 1.724 5.468 1.996
Mn 2.020 1.724 0.665
Mn 4.875 5.171 0.665
Mn 5.171 1.427 1.996
Mn 5.171 2.020 4.656
Mn 5.468 5.171 3.326
Tc 0.000 0.000 2.661
Tc 0.000 3.448 3.991
Tc 3.448 0.000 1.330
Tc 3.448 3.448 0.000
```

Results
E (eV/atom): -6.90
ρ (Mg/m³): 6.10
Energy of formation (eV per atom): 0.670

DFT (PBE) results for an optimized crystal structure of SmEr2Ga6.

The structure in extended XYZ format:
```
9
Lattice="-2.155 3.516 6.599 2.155 -3.516 6.599 2.155 3.516 -6.599" Properties=species:S:1:pos:R:3 pbc="T T T"
Sm 0.000 0.000 0.000
Er 2.155 0.000 4.942
Er 0.000 3.516 1.657
Ga 2.155 1.368 -2.448
Ga 2.155 2.212 0.000
Ga 2.155 1.368 2.448
Ga 0.000 2.148 4.151
Ga 0.000 1.303 6.599
Ga 0.000 2.148 9.048
```

Results
Relative energy among the computed polymorphs (meV/atom): 145.8
E (eV/atom): -4.04
ρ (Mg/m³): 7.50
Energy of formation (eV per atom): -0.479

DFT (PBE) results for an optimized crystal structure of Ac2BiP3Rh12.

The structure in extended XYZ format:
```
18
Lattice="4.086 2.359 6.046 -4.086 2.359 6.046 0.000 -4.719 6.046" Properties=species:S:1:pos:R:3 pbc="T T T"
Ac 0.000 0.000 1.898
Ac 0.000 0.000 16.242
Bi 0.000 0.000 9.070
P -2.043 -1.180 6.046
P -2.043 1.180 12.093
P 0.000 2.359 6.046
Rh -2.159 -1.246 8.303
Rh 0.000 -2.021 5.571
Rh -1.751 1.011 5.571
Rh 0.000 -2.493 9.836
Rh -2.159 1.246 9.836
Rh -1.751 -1.011 12.568
Rh 1.751 1.011 5.571
Rh 2.159 -1.246 8.303
Rh 0.000 2.493 8.303
Rh 1.751 -1.011 12.568
Rh 0.000 2.021 12.568
Rh 2.159 1.246 9.836
```

Results
E (eV/atom): -6.70
ρ (Mg/m³): 9.45
Energy of formation (eV per atom): -0.224

DFT (PBE) results for an optimized crystal structure of Nd3Y3Ga4.

The structure in extended XYZ format:
```
10
Lattice="4.417 0.000 0.000 0.000 5.449 5.535 0.000 -5.449 5.535" Properties=species:S:1:pos:R:3 pbc="T T T"
Nd 0.000 0.000 0.000
Nd 2.209 -2.762 6.403
Nd 2.209 2.762 6.403
Y 0.000 -1.900 3.659
Y 0.000 1.900 3.659
Y 0.000 0.000 7.207
Ga 2.209 0.000 2.402
Ga 2.209 0.000 4.975
Ga 2.209 -1.300 9.127
Ga 2.209 1.300 9.127
```

Results
E (eV/atom): -5.07
ρ (Mg/m³): 6.10
Energy of formation (eV per atom): -0.492

DFT (PBE) results for an optimized crystal structure of La3Be6Pd20.

The structure in extended XYZ format:
```
29
Lattice="0.000 6.061 6.061 6.061 0.000 6.061 6.061 6.061 0.000" Properties=species:S:1:pos:R:3 pbc="T T T"
La 0.000 0.000 0.000
La 3.031 3.031 3.031
La 9.092 9.092 9.092
Be 6.061 6.061 3.326
Be 6.061 3.326 6.061
Be 8.796 6.061 6.061
Be 3.326 6.061 6.061
Be 6.061 8.796 6.061
Be 6.061 6.061 8.796
Pd 2.073 2.073 0.000
Pd 3.988 3.988 0.000
Pd 2.073 0.000 2.073
Pd 6.061 3.988 2.073
Pd 3.988 0.000 3.988
Pd 6.061 2.073 3.988
Pd 7.461 4.661 4.661
Pd 0.000 2.073 2.073
Pd 3.988 6.061 2.073
Pd 3.988 2.073 6.061
Pd 4.661 4.661 4.661
Pd 7.461 7.461 4.661
Pd 7.461 4.661 7.461
Pd 4.661 7.461 4.661
Pd 4.661 4.661 7.461
Pd 7.461 7.461 7.461
Pd 0.000 3.988 3.988
Pd 2.073 6.061 3.988
Pd 2.073 3.988 6.061
Pd 4.661 7.461 7.461
```

Results
E (eV/atom): -5.49
ρ (Mg/m³): 9.69
Energy of formation (eV per atom): -0.625

DFT (PBE) results for an optimized crystal structure of CaLa2MnNi.

The structure in extended XYZ format:
```
5
Lattice="5.476 0.000 0.000 0.000 5.476 0.000 0.000 0.000 4.988" Properties=species:S:1:pos:R:3 pbc="T T T"
Ca 0.000 0.000 0.000
La 0.000 2.738 2.494
La 2.738 0.000 2.494
Mn 2.738 2.738 0.000
Ni 2.738 2.738 2.494
```

Results
E (eV/atom): -5.22
ρ (Mg/m³): 4.79
Energy of formation (eV per atom): 0.144

DFT (PBE) results for an optimized crystal structure of CaTc3Ge2.

The structure in extended XYZ format:
```
12
Lattice="7.845 -2.070 0.000 7.845 2.070 0.000 -3.557 0.000 6.766" Properties=species:S:1:pos:R:3 pbc="T T T"
Ca 1.958 0.000 0.370
Ca 10.177 0.000 6.396
Tc -0.666 0.000 2.754
Tc 2.848 0.000 3.492
Tc 5.246 0.000 2.429
Tc 6.888 0.000 4.337
Tc 9.286 0.000 3.275
Tc 12.801 0.000 4.012
Ge 0.630 0.000 4.916
Ge 4.586 0.000 5.509
Ge 7.548 0.000 1.258
Ge 11.505 0.000 1.850
```

Results
E (eV/atom): -7.29
ρ (Mg/m³): 7.24
Energy of formation (eV per atom): -0.237

Repeat the fourth record exactly.
DFT (PBE) results for an optimized crystal structure of MgMn2Tc.

The structure in extended XYZ format:
```
16
Lattice="6.895 0.000 0.000 0.000 6.895 0.000 0.000 0.000 5.321" Properties=species:S:1:pos:R:3 pbc="T T T"
Mg 0.000 0.000 0.000
Mg 0.000 3.448 1.330
Mg 3.448 0.000 3.991
Mg 3.448 3.448 2.661
Mn 1.427 1.724 3.326
Mn 1.724 4.875 4.656
Mn 1.724 5.468 1.996
Mn 2.020 1.724 0.665
Mn 4.875 5.171 0.665
Mn 5.171 1.427 1.996
Mn 5.171 2.020 4.656
Mn 5.468 5.171 3.326
Tc 0.000 0.000 2.661
Tc 0.000 3.448 3.991
Tc 3.448 0.000 1.330
Tc 3.448 3.448 0.000
```

Results
E (eV/atom): -6.90
ρ (Mg/m³): 6.10
Energy of formation (eV per atom): 0.670

Number 5 is which compound?
SmEr2Ga6

Look up the ρ of the fifth one.
7.50 Mg/m³

Please write out number 8 again, unchanged.
DFT (PBE) results for an optimized crystal structure of La3Be6Pd20.

The structure in extended XYZ format:
```
29
Lattice="0.000 6.061 6.061 6.061 0.000 6.061 6.061 6.061 0.000" Properties=species:S:1:pos:R:3 pbc="T T T"
La 0.000 0.000 0.000
La 3.031 3.031 3.031
La 9.092 9.092 9.092
Be 6.061 6.061 3.326
Be 6.061 3.326 6.061
Be 8.796 6.061 6.061
Be 3.326 6.061 6.061
Be 6.061 8.796 6.061
Be 6.061 6.061 8.796
Pd 2.073 2.073 0.000
Pd 3.988 3.988 0.000
Pd 2.073 0.000 2.073
Pd 6.061 3.988 2.073
Pd 3.988 0.000 3.988
Pd 6.061 2.073 3.988
Pd 7.461 4.661 4.661
Pd 0.000 2.073 2.073
Pd 3.988 6.061 2.073
Pd 3.988 2.073 6.061
Pd 4.661 4.661 4.661
Pd 7.461 7.461 4.661
Pd 7.461 4.661 7.461
Pd 4.661 7.461 4.661
Pd 4.661 4.661 7.461
Pd 7.461 7.461 7.461
Pd 0.000 3.988 3.988
Pd 2.073 6.061 3.988
Pd 2.073 3.988 6.061
Pd 4.661 7.461 7.461
```

Results
E (eV/atom): -5.49
ρ (Mg/m³): 9.69
Energy of formation (eV per atom): -0.625